# 1
Si7Ag, relaxed, DFT PBEsol; electronic total energy = -39.94 eV per formula unit; raw formation energy = 0.45 eV/atom; magnetic moment = 0.00 μB/f.u.; space-group type = Fm-3m, No. 225
1.0
0.000 3.906 3.906
3.906 0.000 3.906
3.906 3.906 0.000
Si Ag
7 1
direct
0.000 0.000 0.000
0.000 0.000 0.500
0.000 0.500 0.000
0.000 0.500 0.500
0.500 0.000 0.000
0.500 0.000 0.500
0.500 0.500 0.000
0.500 0.500 0.500

***

# 2
SiAg3, relaxed, DFT PBEsol; electronic total energy = -15.25 eV per formula unit; raw formation energy = 0.11 eV/atom; magnetic moment = 0.00 μB/f.u.; space-group type = R-3m, No. 166
1.0
1.435 0.829 8.994
-1.435 0.829 8.994
0.000 -1.657 8.994
Si Ag
1 3
direct
0.000 0.000 0.000
0.254 0.254 0.254
0.500 0.500 0.500
0.746 0.746 0.746

***

# 3
SiAg4, relaxed, DFT PBEsol; electronic total energy = -16.81 eV per formula unit; raw formation energy = 0.44 eV/atom; magnetic moment = 0.00 μB/f.u.; excess energy over the best structure of this formula in the dataset = 1.90 eV/f.u.; space-group type = I4/mmm, No. 139
1.0
-1.828 1.828 6.923
1.828 -1.828 6.923
1.828 1.828 -6.923
Si Ag
1 4
direct
0.000 0.000 0.000
0.250 0.750 0.500
0.405 0.405 0.000
0.595 0.595 0.000
0.750 0.250 0.500

***

# 4
Si3Ag, relaxed, DFT PBEsol; electronic total energy = -19.01 eV per formula unit; raw formation energy = 0.38 eV/atom; magnetic moment = 0.00 μB/f.u.; excess energy over the best structure of this formula in the dataset = 0.12 eV/f.u.; space-group type = P4/mmm, No. 123
1.0
4.826 0.000 0.000
0.000 4.826 0.000
0.000 0.000 2.648
Si Ag
3 1
direct
0.000 0.000 0.000
0.000 0.500 0.500
0.500 0.000 0.500
0.500 0.500 0.000

***

# 5
Si3Ag, relaxed, DFT PBEsol; electronic total energy = -19.09 eV per formula unit; raw formation energy = 0.37 eV/atom; magnetic moment = 0.00 μB/f.u.; excess energy over the best structure of this formula in the dataset = 0.05 eV/f.u.; space-group type = Immm, No. 71
1.0
-1.357 2.301 4.983
1.357 -2.301 4.983
1.357 2.301 -4.983
Si Ag
3 1
direct
0.000 0.000 0.000
0.224 0.724 0.500
0.776 0.276 0.500
0.500 0.500 0.000

***

# 6
Si3Ag, relaxed, DFT PBEsol; electronic total energy = -18.91 eV per formula unit; raw formation energy = 0.41 eV/atom; magnetic moment = 0.00 μB/f.u.; excess energy over the best structure of this formula in the dataset = 0.22 eV/f.u.; space-group type = Pmmm, No. 47
1.0
2.725 0.000 0.000
0.000 3.879 0.000
0.000 0.000 5.825
Si Ag
3 1
direct
0.000 0.000 0.000
0.500 0.500 0.231
0.500 0.500 0.769
0.000 0.000 0.500

***

# 7
Si3Ag, relaxed, DFT PBEsol; electronic total energy = -19.14 eV per formula unit; raw formation energy = 0.35 eV/atom; magnetic moment = 0.00 μB/f.u.; excess energy over the best structure of this formula in the dataset = 0.00 eV/f.u.; space-group type = C2/m, No. 12
1.0
4.713 -2.729 0.000
4.713 2.729 0.000
-2.512 0.000 4.927
Si Ag
6 2
direct
0.149 0.702 0.746
0.206 0.206 0.743
0.298 0.851 0.254
0.702 0.149 0.746
0.794 0.794 0.257
0.851 0.298 0.254
0.348 0.348 0.272
0.652 0.652 0.728

***

# 8
SiAg, relaxed, DFT PBEsol; electronic total energy = -8.54 eV per formula unit; raw formation energy = 0.26 eV/atom; magnetic moment = 0.00 μB/f.u.; excess energy over the best structure of this formula in the dataset = 0.00 eV/f.u.; space-group type = Cmme, No. 67
1.0
1.740 -2.200 0.000
1.740 2.200 0.000
0.000 0.000 8.195
Si Ag
2 2
direct
0.250 0.750 0.886
0.750 0.250 0.114
0.250 0.750 0.365
0.750 0.250 0.635

***

# 9
SiAg7, relaxed, DFT PBEsol; electronic total energy = -28.45 eV per formula unit; raw formation energy = 0.06 eV/atom; magnetic moment = 0.00 μB/f.u.; space-group type = Fm-3m, No. 225
1.0
0.000 4.024 4.024
4.024 0.000 4.024
4.024 4.024 0.000
Si Ag
1 7
direct
0.000 0.000 0.000
0.000 0.000 0.500
0.000 0.500 0.000
0.000 0.500 0.500
0.500 0.000 0.000
0.500 0.000 0.500
0.500 0.500 0.000
0.500 0.500 0.500

***

# 10
SiAg4, relaxed, DFT PBEsol; electronic total energy = -18.71 eV per formula unit; raw formation energy = 0.06 eV/atom; magnetic moment = 0.00 μB/f.u.; excess energy over the best structure of this formula in the dataset = 0.00 eV/f.u.; space-group type = P-42_1c, No. 114
1.0
5.406 0.000 0.000
0.000 5.406 0.000
0.000 0.000 5.695
Si Ag
2 8
direct
0.000 0.000 0.000
0.500 0.500 0.500
0.138 0.261 0.342
0.239 0.362 0.842
0.261 0.862 0.658
0.362 0.761 0.158
0.638 0.239 0.158
0.739 0.138 0.658
0.761 0.638 0.842
0.862 0.739 0.342

***

# 11
Si8Ag, relaxed, DFT PBEsol; electronic total energy = -45.48 eV per formula unit; raw formation energy = 0.42 eV/atom; magnetic moment = 0.00 μB/f.u.; space-group type = I4/mmm, No. 139
1.0
-3.952 3.952 2.134
3.952 -3.952 2.134
3.952 3.952 -2.134
Si Ag
8 1
direct
0.000 0.342 0.342
0.000 0.658 0.658
0.331 0.331 0.662
0.331 0.669 0.000
0.342 0.000 0.342
0.658 0.000 0.658
0.669 0.331 0.000
0.669 0.669 0.338
0.000 0.000 0.000

***

# 12
SiAg, relaxed, DFT PBEsol; electronic total energy = -8.42 eV per formula unit; raw formation energy = 0.32 eV/atom; magnetic moment = 0.00 μB/f.u.; excess energy over the best structure of this formula in the dataset = 0.12 eV/f.u.; space-group type = P6_3/mmc, No. 194
1.0
4.105 0.000 0.000
-2.053 3.555 0.000
0.000 0.000 4.786
Si Ag
2 2
direct
0.000 0.000 0.000
0.000 0.000 0.500
0.333 0.667 0.250
0.667 0.333 0.750